## A
# CaTb2Ir, optimized geometry, DFT PBE
# Magnetization (μB/cell): 0.0
data_CaTb2Ir
_chemical_formula_sum 'Ca3 Tb6 Ir3'
_symmetry_space_group_name_H-M 'R -3 m'
_symmetry_Int_Tables_number 166
_symmetry_space_group_name_Hall '-R 3 2"'
_cell_length_a 4.0091
_cell_length_b 4.0091
_cell_length_c 31.7758
_cell_angle_alpha 90.00
_cell_angle_beta 90.00
_cell_angle_gamma 120.00
loop_
_atom_site_label
_atom_site_type_symbol
_atom_site_fract_x
_atom_site_fract_y
_atom_site_fract_z
_atom_site_occupancy
Ca1 Ca 0.0000 0.0000 0.0000 1
Tb1 Tb 0.0000 0.0000 0.1201 1
Ir1 Ir 0.0000 0.0000 0.5000 1

## B
# CaTb2Ir, optimized geometry, DFT PBE
# Magnetization (μB/cell): 0.0
data_CaTb2Ir
_chemical_formula_sum 'Ca3 Tb6 Ir3'
_symmetry_space_group_name_H-M 'R 3 m'
_symmetry_Int_Tables_number 160
_symmetry_space_group_name_Hall 'R 3 -2"'
_cell_length_a 4.1119
_cell_length_b 4.1119
_cell_length_c 27.1803
_cell_angle_alpha 90.00
_cell_angle_beta 90.00
_cell_angle_gamma 120.00
loop_
_atom_site_label
_atom_site_type_symbol
_atom_site_fract_x
_atom_site_fract_y
_atom_site_fract_z
_atom_site_occupancy
Ca1 Ca 0.0000 0.0000 0.0000 1
Tb1 Tb 0.0000 0.0000 0.2211 1
Tb2 Tb 0.0000 0.0000 0.4499 1
Ir1 Ir 0.0000 0.0000 0.8356 1

Q: Which of them is the most stable? A: B.

## A
# Be2TcRh, optimized geometry, DFT PBE
# Magnetization (μB/cell): 0.0
data_Be2TcRh
_chemical_formula_sum 'Be2 Tc1 Rh1'
_symmetry_space_group_name_H-M 'P 4/m m m'
_symmetry_Int_Tables_number 123
_symmetry_space_group_name_Hall '-P 4 2'
_cell_length_a 2.764
_cell_length_b 2.764
_cell_length_c 5.783
_cell_angle_alpha 90.00
_cell_angle_beta 90.00
_cell_angle_gamma 90.00
loop_
_atom_site_label
_atom_site_type_symbol
_atom_site_fract_x
_atom_site_fract_y
_atom_site_fract_z
_atom_site_occupancy
Be1 Be 0.000 0.000 0.225 1
Tc1 Tc 0.500 0.500 0.500 1
Rh1 Rh 0.500 0.500 0.000 1

## B
# Be2TcRh, optimized geometry, DFT PBE
# Magnetization (μB/cell): 6.9
data_Be2TcRh
_chemical_formula_sum 'Be8 Tc4 Rh4'
_symmetry_space_group_name_H-M 'F m -3 m'
_symmetry_Int_Tables_number 225
_symmetry_space_group_name_Hall '-F 4 2 3'
_cell_length_a 5.637
_cell_length_b 5.637
_cell_length_c 5.637
_cell_angle_alpha 90.00
_cell_angle_beta 90.00
_cell_angle_gamma 90.00
loop_
_atom_site_label
_atom_site_type_symbol
_atom_site_fract_x
_atom_site_fract_y
_atom_site_fract_z
_atom_site_occupancy
Be1 Be 0.250 0.250 0.250 1
Tc1 Tc 0.000 0.000 0.000 1
Rh1 Rh 0.000 0.000 0.500 1

Q: Which of them is the most stable? A: A.

## A
# La3RuAu, optimized geometry, DFT PBE
# Magnetization (μB/cell): 0.0
data_La3RuAu
_chemical_formula_sum 'La6 Ru2 Au2'
_symmetry_space_group_name_H-M 'P 1 21/m 1'
_symmetry_Int_Tables_number 11
_cell_length_a 5.746
_cell_length_b 7.278
_cell_length_c 7.158
_cell_angle_alpha 90.00
_cell_angle_beta 107.44
_cell_angle_gamma 90.00
loop_
_symmetry_equiv_pos_as_xyz
'x,y,z'
'-x,-y,-z'
'-x,y+1/2,-z'
'x,-y+1/2,z'
loop_
_atom_site_label
_atom_site_type_symbol
_atom_site_fract_x
_atom_site_fract_y
_atom_site_fract_z
_atom_site_occupancy
La1 La 0.128 0.250 0.108 1
La2 La 0.315 0.011 0.693 1
Ru1 Ru 0.354 0.750 0.981 1
Au1 Au 0.190 0.750 0.329 1

## B
# La3RuAu, optimized geometry, DFT PBE
# Magnetization (μB/cell): 0.0
data_La3RuAu
_chemical_formula_sum 'La6 Ru2 Au2'
_symmetry_space_group_name_H-M 'P 1 21/m 1'
_symmetry_Int_Tables_number 11
_cell_length_a 8.703
_cell_length_b 4.131
_cell_length_c 8.794
_cell_angle_alpha 90.00
_cell_angle_beta 102.96
_cell_angle_gamma 90.00
loop_
_symmetry_equiv_pos_as_xyz
'x,y,z'
'-x,-y,-z'
'-x,y+1/2,-z'
'x,-y+1/2,z'
loop_
_atom_site_label
_atom_site_type_symbol
_atom_site_fract_x
_atom_site_fract_y
_atom_site_fract_z
_atom_site_occupancy
La1 La 0.060 0.250 0.322 1
La2 La 0.289 0.250 0.968 1
La3 La 0.386 0.750 0.631 1
Ru1 Ru 0.176 0.250 0.674 1
Au1 Au 0.326 0.750 0.249 1

Q: Which of them is the most stable? A: B.

## A
# ReNiHg, optimized geometry, DFT PBE
# Magnetization (μB/cell): 3.2
data_ReNiHg
_chemical_formula_sum 'Re4 Ni4 Hg4'
_symmetry_space_group_name_H-M 'F -4 3 m'
_symmetry_Int_Tables_number 216
_symmetry_space_group_name_Hall 'F -4 2 3'
_cell_length_a 6.094
_cell_length_b 6.094
_cell_length_c 6.094
_cell_angle_alpha 90.00
_cell_angle_beta 90.00
_cell_angle_gamma 90.00
loop_
_atom_site_label
_atom_site_type_symbol
_atom_site_fract_x
_atom_site_fract_y
_atom_site_fract_z
_atom_site_occupancy
Re1 Re 0.000 0.000 0.000 1
Ni1 Ni 0.250 0.250 0.750 1
Hg1 Hg 0.250 0.250 0.250 1

## B
# ReNiHg, optimized geometry, DFT PBE
# Magnetization (μB/cell): 0.0
data_ReNiHg
_chemical_formula_sum 'Re4 Ni4 Hg4'
_symmetry_space_group_name_H-M 'C 1 2/m 1'
_symmetry_Int_Tables_number 12
_cell_length_a 12.165
_cell_length_b 2.882
_cell_length_c 5.627
_cell_angle_alpha 90.00
_cell_angle_beta 105.04
_cell_angle_gamma 90.00
loop_
_symmetry_equiv_pos_as_xyz
'x,y,z'
'-x,-y,-z'
'-x,y,-z'
'x,-y,z'
'x+1/2,y+1/2,z'
'-x+1/2,-y+1/2,-z'
'-x+1/2,y+1/2,-z'
'x+1/2,-y+1/2,z'
loop_
_atom_site_label
_atom_site_type_symbol
_atom_site_fract_x
_atom_site_fract_y
_atom_site_fract_z
_atom_site_occupancy
Re1 Re 0.191 0.000 0.102 1
Ni1 Ni 0.180 0.000 0.575 1
Hg1 Hg 0.002 0.500 0.748 1

Q: Which of them is the most stable? A: B.

## A
# ZrScP2, optimized geometry, DFT PBE
# Magnetization (μB/cell): 1.4
data_ZrScP2
_chemical_formula_sum 'Zr4 Sc4 P8'
_symmetry_space_group_name_H-M 'F -4 3 m'
_symmetry_Int_Tables_number 216
_symmetry_space_group_name_Hall 'F -4 2 3'
_cell_length_a 6.494
_cell_length_b 6.494
_cell_length_c 6.494
_cell_angle_alpha 90.00
_cell_angle_beta 90.00
_cell_angle_gamma 90.00
loop_
_atom_site_label
_atom_site_type_symbol
_atom_site_fract_x
_atom_site_fract_y
_atom_site_fract_z
_atom_site_occupancy
Zr1 Zr 0.000 0.000 0.000 1
Sc1 Sc 0.250 0.250 0.250 1
P1 P 0.000 0.000 0.500 1
P2 P 0.250 0.250 0.750 1

## B
# ZrScP2, optimized geometry, DFT PBE
# Magnetization (μB/cell): 0.0
data_ZrScP2
_chemical_formula_sum 'Zr2 Sc2 P4'
_symmetry_space_group_name_H-M 'A m m 2'
_symmetry_Int_Tables_number 38
_cell_length_a 3.775
_cell_length_b 3.627
_cell_length_c 10.997
_cell_angle_alpha 90.00
_cell_angle_beta 90.00
_cell_angle_gamma 90.00
loop_
_symmetry_equiv_pos_as_xyz
'x,y,z'
'-x,-y,z'
'-x,y,z'
'x,-y,z'
'x,y+1/2,z+1/2'
'-x,-y+1/2,z+1/2'
'-x,y+1/2,z+1/2'
'x,-y+1/2,z+1/2'
loop_
_atom_site_label
_atom_site_type_symbol
_atom_site_fract_x
_atom_site_fract_y
_atom_site_fract_z
_atom_site_occupancy
Zr1 Zr 0.000 0.000 0.000 1
Sc1 Sc 0.500 0.000 0.275 1
P1 P 0.000 0.000 0.762 1
P2 P 0.500 0.000 0.517 1

Q: Which of them is the most stable? A: B.